## HgGePd4 (PBE)

Data for HgGePd4 after structural relaxation.

Values from the calculation:
Energy relative to the lowest polymorph listed for this composition, eV per atom: 0.000
Total moment, μB/f.u.: 0.0

Lattice parameters (Å, degrees): 3.0675 7.3147 17.5936 90.00 90.00 90.00
With the nearest neighbours (Å) after each atom.
Positions (direct):
Pd (0.2500, 0.5215, 0.7040)  4 Hg 2.79-2.80, 6 Pd 2.86-3.07
Pd (0.2500, 0.6058, 0.9455)  3 Ge 2.59-2.63, 2 Hg 2.89
Pd (0.2500, 0.0324, 0.0684)  3 Ge 2.56-2.58, 1 Hg 2.85, 2 Pd 2.86
Pd (0.7500, 0.4785, 0.2960)  4 Hg 2.79-2.80, 6 Pd 2.86-3.07
Pd (0.7500, 0.3942, 0.0545)  3 Ge 2.59-2.63, 2 Hg 2.89
Pd (0.2500, 0.1058, 0.5545)  3 Ge 2.59-2.63, 2 Hg 2.89
Pd (0.7500, 0.9676, 0.9316)  3 Ge 2.56-2.58, 1 Hg 2.85, 2 Pd 2.86
Pd (0.7500, 0.8303, 0.6541)  2 Ge 2.51, 1 Hg 2.79
Pd (0.2500, 0.1697, 0.3459)  2 Ge 2.51, 1 Hg 2.79
Pd (0.7500, 0.9785, 0.2040)  4 Hg 2.79-2.80, 6 Pd 2.86-3.07
Pd (0.7500, 0.4676, 0.5684)  3 Ge 2.56-2.58, 1 Hg 2.85, 2 Pd 2.86
Pd (0.2500, 0.0215, 0.7960)  4 Hg 2.79-2.80, 6 Pd 2.86-3.07
Pd (0.7500, 0.3303, 0.8459)  2 Ge 2.51, 1 Hg 2.79
Pd (0.2500, 0.5324, 0.4316)  3 Ge 2.56-2.58, 1 Hg 2.85, 2 Pd 2.86
Pd (0.7500, 0.8942, 0.4455)  3 Ge 2.59-2.63, 2 Hg 2.89
Pd (0.2500, 0.6697, 0.1541)  2 Ge 2.51, 1 Hg 2.79
Hg (0.2500, 0.2964, 0.1876)  9 Pd 2.79-2.94, 2 Hg 3.07
Hg (0.2500, 0.7964, 0.3124)  9 Pd 2.79-2.94, 2 Hg 3.07
Hg (0.7500, 0.2036, 0.6876)  9 Pd 2.79-2.94, 2 Hg 3.07
Hg (0.7500, 0.7036, 0.8124)  9 Pd 2.79-2.94, 2 Hg 3.07
Ge (0.2500, 0.7466, 0.5470)  8 Pd 2.51-2.63
Ge (0.2500, 0.2466, 0.9530)  8 Pd 2.51-2.63
Ge (0.7500, 0.2534, 0.4530)  8 Pd 2.51-2.63
Ge (0.7500, 0.7534, 0.0470)  8 Pd 2.51-2.63